Computed, not measured: a relaxed Ba2CdAuO5 crystal at the PBE level of DFT.

POSCAR file:
```
Ba2CdAuO5
1.0
3.599 0.000 0.000
-1.800 7.377 0.000
0.000 0.000 11.425
O Cd Ba Au
10 2 4 2
Direct
0.275 0.549 0.649
0.390 0.779 0.994
0.947 0.894 0.555
0.517 0.035 0.276
0.610 0.221 0.494
0.661 0.322 0.889
0.053 0.106 0.055
0.483 0.965 0.776
0.339 0.678 0.389
0.725 0.451 0.149
0.793 0.585 0.524
0.207 0.415 0.024
0.898 0.797 0.186
0.151 0.303 0.305
0.849 0.697 0.805
0.102 0.203 0.686
0.475 0.949 0.447
0.525 0.051 0.947
```

ΔE_f (raw)	-1.3103	eV/atom
space-group type	No. 36
magnetization	0.0	μB/cell



Computed, not measured: a relaxed Ba6Cd2AuO crystal at the PBE level of DFT.

POSCAR file:
```
Ba6Cd2AuO
1.0
8.078 0.000 0.125
0.000 8.678 0.000
0.248 0.000 11.552
Ba Cd O Au
12 4 2 2
Direct
0.603 0.019 0.272
0.703 0.323 0.948
0.297 0.677 0.052
0.665 0.292 0.549
0.897 0.519 0.228
0.835 0.792 0.951
0.335 0.708 0.451
0.203 0.177 0.448
0.397 0.981 0.728
0.103 0.481 0.772
0.797 0.823 0.552
0.165 0.208 0.049
0.037 0.908 0.251
0.963 0.092 0.749
0.463 0.408 0.249
0.537 0.592 0.751
0.000 0.500 0.000
0.500 0.000 0.500
0.000 0.500 0.500
0.500 0.000 0.000
```

ΔE_f (raw)	-0.7229	eV/atom
space-group type	No. 14
magnetization	0.0	μB/cell



Computed, not measured: a relaxed Ba2CdAu2O6 crystal at the PBE level of DFT.

POSCAR file:
```
Ba2CdAu2O6
1.0
6.216 0.000 0.000
3.108 5.383 0.000
3.108 1.794 6.075
Cd Ba O Au
1 2 6 2
Direct
0.000 0.000 0.000
0.786 0.786 0.642
0.214 0.214 0.358
0.201 0.762 0.274
0.238 0.238 0.726
0.762 0.762 0.274
0.238 0.799 0.726
0.762 0.201 0.274
0.799 0.238 0.726
0.417 0.417 0.748
0.583 0.583 0.252
```

ΔE_f (raw)	-0.9571	eV/atom
space-group type	No. 166
magnetization	0.0	μB/cell



Number 1: electronic total energy -4.96 eV per atom. Number 2: electronic total energy -2.88 eV per atom. Number 3: electronic total energy -4.69 eV per atom.